# DyAl3 PBE relaxed
# **Final energy**: -35.1 eV for the cell shown
# **Energy of formation from the pure elements**: -0.4321 eV/atom
# **Magnetization**: 0.0 μB per formula unit
data_DyAl3
_space_group_name_H-M_alt 'P 63/m m c'
_space_group_IT_number 194
_space_group_name_Hall '-P 6c 2c'
_cell_length_a 6.2347
_cell_length_b 6.2347
_cell_length_c 4.6651
_cell_angle_alpha 90.00
_cell_angle_beta 90.00
_cell_angle_gamma 120.00
loop_
_atom_site_label
_atom_site_fract_x
_atom_site_fract_y
_atom_site_fract_z
Dy1 0.3333 0.6667 0.2500
Al1 0.1473 0.2945 0.7500

# DyAl4 PBE relaxed
# **Final energy**: -13.5 eV for the cell shown
# **Energy of formation from the pure elements**: 1.2160 eV/atom
# **Magnetization**: 0.0 μB per formula unit
data_DyAl4
_space_group_name_H-M_alt 'P m -3 m'
_space_group_IT_number 221
_space_group_name_Hall '-P 4 2 3'
_cell_length_a 5.564
_cell_length_b 5.564
_cell_length_c 5.564
_cell_angle_alpha 90.00
_cell_angle_beta 90.00
_cell_angle_gamma 90.00
loop_
_atom_site_label
_atom_site_fract_x
_atom_site_fract_y
_atom_site_fract_z
Dy1 0.000 0.000 0.000
Al1 0.000 0.000 0.500
Al2 0.500 0.500 0.500

# Dy2Al PBE relaxed
# **Final energy**: -26.0 eV for the cell shown
# **Energy of formation from the pure elements**: -0.0196 eV/atom
# **Magnetization**: 0.0 μB per formula unit
data_Dy2Al
_space_group_name_H-M_alt 'I 4/m m m'
_space_group_IT_number 139
_space_group_name_Hall '-I 4 2'
_cell_length_a 5.049
_cell_length_b 5.049
_cell_length_c 7.131
_cell_angle_alpha 90.00
_cell_angle_beta 90.00
_cell_angle_gamma 90.00
loop_
_atom_site_label
_atom_site_fract_x
_atom_site_fract_y
_atom_site_fract_z
Dy1 0.000 0.500 0.250
Al1 0.000 0.000 0.000

# DyAl3 PBE relaxed
# **Final energy**: -34.0 eV for the cell shown
# **Energy of formation from the pure elements**: -0.2864 eV/atom
# **Magnetization**: 0.0 μB per formula unit
data_DyAl3
_space_group_name_H-M_alt 'I 4/m m m'
_space_group_IT_number 139
_space_group_name_Hall '-I 4 2'
_cell_length_a 4.196
_cell_length_b 4.196
_cell_length_c 9.120
_cell_angle_alpha 90.00
_cell_angle_beta 90.00
_cell_angle_gamma 90.00
loop_
_atom_site_label
_atom_site_fract_x
_atom_site_fract_y
_atom_site_fract_z
Dy1 0.000 0.000 0.000
Al1 0.000 0.000 0.500
Al2 0.000 0.500 0.250

# DyAl6 PBE relaxed
# **Final energy**: -46.8 eV for the cell shown
# **Energy of formation from the pure elements**: 0.5254 eV/atom
# **Magnetization**: 0.0 μB per formula unit
data_DyAl6
_space_group_name_H-M_alt 'I m -3 m'
_space_group_IT_number 229
_space_group_name_Hall '-I 4 2 3'
_cell_length_a 7.122
_cell_length_b 7.122
_cell_length_c 7.122
_cell_angle_alpha 90.00
_cell_angle_beta 90.00
_cell_angle_gamma 90.00
loop_
_atom_site_label
_atom_site_fract_x
_atom_site_fract_y
_atom_site_fract_z
Dy1 0.000 0.000 0.000
Al1 0.000 0.250 0.500

# DyAl3 PBE relaxed
# **Final energy**: -263.1 eV for the cell shown
# **Energy of formation from the pure elements**: -0.4269 eV/atom
# **Magnetization**: 0.0 μB per formula unit
data_DyAl3
_space_group_name_H-M_alt 'R -3 m'
_space_group_IT_number 166
_space_group_name_Hall '-R 3 2"'
_cell_length_a 6.1123
_cell_length_b 6.1123
_cell_length_c 35.8786
_cell_angle_alpha 90.00
_cell_angle_beta 90.00
_cell_angle_gamma 120.00
loop_
_atom_site_label
_atom_site_fract_x
_atom_site_fract_y
_atom_site_fract_z
Dy1 0.0000 0.0000 0.0000
Dy2 0.0000 0.0000 0.1306
Dy3 0.0000 0.0000 0.4001
Al1 0.0000 0.5000 0.0000
Al2 0.0041 0.5020 0.8661
Al3 0.0357 0.5179 0.3995

# Dy3Al11 PBE relaxed
# **Final energy**: -119.4 eV for the cell shown
# **Energy of formation from the pure elements**: -0.3373 eV/atom
# **Magnetization**: 0.0 μB per formula unit
data_Dy3Al11
_space_group_name_H-M_alt 'I m m m'
_space_group_IT_number 71
_space_group_name_Hall '-I 2 2'
_cell_length_a 4.279
_cell_length_b 9.932
_cell_length_c 12.845
_cell_angle_alpha 90.00
_cell_angle_beta 90.00
_cell_angle_gamma 90.00
loop_
_atom_site_label
_atom_site_fract_x
_atom_site_fract_y
_atom_site_fract_z
Dy1 0.000 0.000 0.000
Dy2 0.000 0.000 0.314
Al1 0.000 0.208 0.500
Al2 0.000 0.278 0.139
Al3 0.000 0.371 0.337
Al4 0.000 0.500 0.000

# DyAl3 PBE relaxed
# **Final energy**: -158.0 eV for the cell shown
# **Energy of formation from the pure elements**: -0.4326 eV/atom
# **Magnetization**: 0.0 μB per formula unit
data_DyAl3
_space_group_name_H-M_alt 'R -3 m'
_space_group_IT_number 166
_space_group_name_Hall '-R 3 2"'
_cell_length_a 6.1818
_cell_length_b 6.1818
_cell_length_c 21.1715
_cell_angle_alpha 90.00
_cell_angle_beta 90.00
_cell_angle_gamma 120.00
loop_
_atom_site_label
_atom_site_fract_x
_atom_site_fract_y
_atom_site_fract_z
Dy1 0.0000 0.0000 0.0000
Dy2 0.0000 0.0000 0.2183
Al1 0.0000 0.5000 0.0000
Al2 0.0386 0.5193 0.2232